No. 1
! LiTh2Tc PBE relaxed; values from VASP
! **Uncorrected energy**: -27.1 eV for the cell shown
! **DOS at the Fermi energy**: 0.63 states/eV per atom
! **ΔE_f**: 0.0172 eV/atom
&SYSTEM
  ibrav = 0, nat = 4, ntyp = 3
/
ATOMIC_SPECIES
Th 232.04 Th.upf
Tc 98.00 Tc.upf
Li 6.94 Li.upf
ATOMIC_POSITIONS crystal
Th 0.000 0.000 0.781
Tc 0.500 0.500 0.000
Th 0.000 0.000 0.219
Li 0.500 0.500 0.500
CELL_PARAMETERS angstrom
-1.954 -2.869 0.471
1.922 -1.701 -2.385
5.045 -2.478 5.832



No. 2
! LiThTc4 PBE relaxed; values from VASP
! **Uncorrected energy**: -49.8 eV for the cell shown
! **DOS at the Fermi energy**: 0.76 states/eV per atom
! **ΔE_f**: 0.1716 eV/atom
&SYSTEM
  ibrav = 0, nat = 6, ntyp = 3
/
ATOMIC_SPECIES
Th 232.04 Th.upf
Tc 98.00 Tc.upf
Li 6.94 Li.upf
ATOMIC_POSITIONS crystal
Th 0.000 0.000 0.000
Tc 0.625 0.625 0.625
Tc 0.625 0.126 0.625
Tc 0.126 0.625 0.625
Li 0.250 0.250 0.250
Tc 0.625 0.625 0.126
CELL_PARAMETERS angstrom
-0.997 3.259 -4.134
-2.648 -1.836 -4.280
-5.005 1.650 -0.964



No. 3
! LiTh2Tc PBE relaxed; values from VASP
! **Uncorrected energy**: -26.2 eV for the cell shown
! **DOS at the Fermi energy**: 0.91 states/eV per atom
! **ΔE_f**: 0.2337 eV/atom
&SYSTEM
  ibrav = 0, nat = 4, ntyp = 3
/
ATOMIC_SPECIES
Th 232.04 Th.upf
Tc 98.00 Tc.upf
Li 6.94 Li.upf
ATOMIC_POSITIONS crystal
Th 0.884 0.884 0.349
Tc 0.500 0.500 0.500
Th 0.116 0.116 0.651
Li 0.000 0.000 0.000
CELL_PARAMETERS angstrom
-0.450 2.070 3.446
-3.482 1.908 0.773
-4.809 -6.868 5.871



No. 4
! LiTh2Tc PBE relaxed; values from VASP
! **Uncorrected energy**: -27.1 eV for the cell shown
! **DOS at the Fermi energy**: 1.89 states/eV per atom
! **ΔE_f**: 0.0150 eV/atom
&SYSTEM
  ibrav = 0, nat = 4, ntyp = 3
/
ATOMIC_SPECIES
Li 6.94 Li.upf
Tc 98.00 Tc.upf
Th 232.04 Th.upf
ATOMIC_POSITIONS crystal
Li 0.250 0.250 0.250
Tc 0.750 0.750 0.750
Th 0.500 0.500 0.500
Th 0.000 0.000 0.000
CELL_PARAMETERS angstrom
5.109 0.000 0.000
2.554 4.424 0.000
2.554 1.475 4.171



No. 5
! LiThTc PBE relaxed; values from VASP
! **Uncorrected energy**: -38.4 eV for the cell shown
! **DOS at the Fermi energy**: 1.01 states/eV per atom
! **ΔE_f**: 0.1587 eV/atom
&SYSTEM
  ibrav = 0, nat = 6, ntyp = 3
/
ATOMIC_SPECIES
Li 6.94 Li.upf
Th 232.04 Th.upf
Tc 98.00 Tc.upf
ATOMIC_POSITIONS crystal
Li 0.544 0.250 0.089
Th 0.773 0.750 0.546
Th 0.227 0.250 0.454
Tc 0.939 0.250 0.878
Li 0.456 0.750 0.911
Tc 0.061 0.750 0.122
CELL_PARAMETERS angstrom
-3.195 -3.035 -2.642
3.404 -1.929 -1.900
1.764 -2.223 5.416



No. 6
! LiTmThTc PBE relaxed; values from VASP
! **Uncorrected energy**: -24.6 eV for the cell shown
! **DOS at the Fermi energy**: 0.62 states/eV per atom
! **ΔE_f**: -0.0973 eV/atom
&SYSTEM
  ibrav = 0, nat = 4, ntyp = 4
/
ATOMIC_SPECIES
Th 232.04 Th.upf
Tm 168.93 Tm.upf
Tc 98.00 Tc.upf
Li 6.94 Li.upf
ATOMIC_POSITIONS crystal
Th 0.750 0.750 0.750
Tm 0.250 0.250 0.250
Tc 0.500 0.500 0.500
Li 0.000 0.000 0.000
CELL_PARAMETERS angstrom
-4.387 -0.990 -2.138
-0.285 -3.373 -3.653
-2.238 -4.373 0.818



No. 7
! Li2TiTc PBE relaxed; values from VASP
! **Uncorrected energy**: -20.2 eV for the cell shown
! **DOS at the Fermi energy**: 1.09 states/eV per atom
! **Excess energy over the best structure of this formula in the dataset**: 201.9 meV per atom
! **ΔE_f**: 0.4825 eV/atom
&SYSTEM
  ibrav = 0, nat = 4, ntyp = 3
/
ATOMIC_SPECIES
Ti 47.87 Ti.upf
Tc 98.00 Tc.upf
Li 6.94 Li.upf
ATOMIC_POSITIONS crystal
Ti 0.000 0.000 0.000
Tc 0.500 0.500 0.500
Li 0.250 0.250 0.250
Li 0.750 0.750 0.750
CELL_PARAMETERS angstrom
-2.139 -3.307 1.592
0.024 -0.729 4.186
-3.520 0.650 2.289



No. 8
! Li2TiTc PBE relaxed; values from VASP
! **Uncorrected energy**: -41.9 eV for the cell shown
! **DOS at the Fermi energy**: 0.79 states/eV per atom
! **Excess energy over the best structure of this formula in the dataset**: 0.0 meV per atom
! **ΔE_f**: 0.2806 eV/atom
&SYSTEM
  ibrav = 0, nat = 8, ntyp = 3
/
ATOMIC_SPECIES
Li 6.94 Li.upf
Ti 47.87 Ti.upf
Tc 98.00 Tc.upf
ATOMIC_POSITIONS crystal
Li 0.375 0.360 0.750
Ti 0.500 0.500 0.000
Tc 0.000 0.000 0.000
Li 0.640 0.125 0.250
Ti 0.250 0.750 0.500
Li 0.110 0.625 0.250
Li 0.875 0.890 0.750
Tc 0.750 0.250 0.500
CELL_PARAMETERS angstrom
3.511 0.000 0.000
0.000 3.511 0.000
1.755 1.755 10.265



No. 9
! LiTiVTc PBE relaxed; values from VASP
! **Uncorrected energy**: -29.4 eV for the cell shown
! **DOS at the Fermi energy**: 0.78 states/eV per atom
! **ΔE_f**: -0.0241 eV/atom
&SYSTEM
  ibrav = 0, nat = 4, ntyp = 4
/
ATOMIC_SPECIES
V 50.94 V.upf
Li 6.94 Li.upf
Tc 98.00 Tc.upf
Ti 47.87 Ti.upf
ATOMIC_POSITIONS crystal
V 0.750 0.750 0.750
Li 0.500 0.500 0.500
Tc 0.000 0.000 0.000
Ti 0.250 0.250 0.250
CELL_PARAMETERS angstrom
4.314 0.000 0.000
2.157 3.736 0.000
2.157 1.245 3.523



No. 10
! LiYTiTc PBE relaxed; values from VASP
! **Uncorrected energy**: -26.6 eV for the cell shown
! **DOS at the Fermi energy**: 0.65 states/eV per atom
! **ΔE_f**: 0.0014 eV/atom
&SYSTEM
  ibrav = 0, nat = 4, ntyp = 4
/
ATOMIC_SPECIES
Ti 47.87 Ti.upf
Li 6.94 Li.upf
Y 88.91 Y.upf
Tc 98.00 Tc.upf
ATOMIC_POSITIONS crystal
Ti 0.500 0.500 0.500
Li 0.250 0.250 0.250
Y 0.000 0.000 0.000
Tc 0.750 0.750 0.750
CELL_PARAMETERS angstrom
4.667 0.000 0.000
2.334 4.042 0.000
2.334 1.347 3.811



No. 11
! LiZrTiTc PBE relaxed; values from VASP
! **Uncorrected energy**: -29.3 eV for the cell shown
! **DOS at the Fermi energy**: 1.02 states/eV per atom
! **ΔE_f**: -0.1362 eV/atom
&SYSTEM
  ibrav = 0, nat = 4, ntyp = 4
/
ATOMIC_SPECIES
Ti 47.87 Ti.upf
Zr 91.22 Zr.upf
Tc 98.00 Tc.upf
Li 6.94 Li.upf
ATOMIC_POSITIONS crystal
Ti 0.250 0.250 0.250
Zr 0.750 0.750 0.750
Tc 0.000 0.000 0.000
Li 0.500 0.500 0.500
CELL_PARAMETERS angstrom
-0.833 -4.174 1.603
2.108 -1.455 3.758
-2.343 -0.527 3.862



No. 12
! LiTl2Tc PBE relaxed; values from VASP
! **Uncorrected energy**: -15.3 eV for the cell shown
! **DOS at the Fermi energy**: 0.70 states/eV per atom
! **Excess energy over the best structure of this formula in the dataset**: 119.8 meV per atom
! **ΔE_f**: 0.4394 eV/atom
&SYSTEM
  ibrav = 0, nat = 4, ntyp = 3
/
ATOMIC_SPECIES
Tc 98.00 Tc.upf
Li 6.94 Li.upf
Tl 204.38 Tl.upf
ATOMIC_POSITIONS crystal
Tc 0.500 0.500 0.793
Li 0.000 0.000 0.479
Tl 0.500 0.500 0.306
Tl 0.000 0.000 0.922
CELL_PARAMETERS angstrom
3.180 0.000 0.000
0.000 4.491 0.000
0.000 0.000 5.716



No. 13
! Li3TlTc PBE relaxed; values from VASP
! **Uncorrected energy**: -13.8 eV for the cell shown
! **DOS at the Fermi energy**: 1.58 states/eV per atom
! **Excess energy over the best structure of this formula in the dataset**: 0.0 meV per atom
! **ΔE_f**: 0.9349 eV/atom
&SYSTEM
  ibrav = 0, nat = 5, ntyp = 3
/
ATOMIC_SPECIES
Tc 98.00 Tc.upf
Li 6.94 Li.upf
Tl 204.38 Tl.upf
ATOMIC_POSITIONS crystal
Tc 0.000 0.000 0.000
Li 0.000 0.500 0.000
Li 0.000 0.000 0.500
Tl 0.500 0.500 0.500
Li 0.500 0.000 0.000
CELL_PARAMETERS angstrom
4.917 0.000 0.000
0.000 4.917 0.000
0.000 0.000 4.917



No. 14
! LiTl2Tc PBE relaxed; values from VASP
! **Uncorrected energy**: -14.9 eV for the cell shown
! **DOS at the Fermi energy**: 0.78 states/eV per atom
! **Excess energy over the best structure of this formula in the dataset**: 212.2 meV per atom
! **ΔE_f**: 0.5319 eV/atom
&SYSTEM
  ibrav = 0, nat = 4, ntyp = 3
/
ATOMIC_SPECIES
Tc 98.00 Tc.upf
Tl 204.38 Tl.upf
Li 6.94 Li.upf
ATOMIC_POSITIONS crystal
Tc 0.500 0.500 0.725
Tl 0.000 0.000 0.962
Li 0.000 0.000 0.530
Tl 0.500 0.500 0.284
CELL_PARAMETERS angstrom
-2.345 -0.655 1.698
2.023 -0.777 2.029
-0.009 8.908 3.421



No. 15
! LiTl2Tc PBE relaxed; values from VASP
! **Uncorrected energy**: -15.6 eV for the cell shown
! **DOS at the Fermi energy**: 0.46 states/eV per atom
! **Excess energy over the best structure of this formula in the dataset**: 34.9 meV per atom
! **ΔE_f**: 0.3545 eV/atom
&SYSTEM
  ibrav = 0, nat = 4, ntyp = 3
/
ATOMIC_SPECIES
Li 6.94 Li.upf
Tc 98.00 Tc.upf
Tl 204.38 Tl.upf
ATOMIC_POSITIONS crystal
Li 0.509 0.509 0.542
Tc 0.253 0.253 0.183
Tl 0.989 0.989 0.086
Tl 0.749 0.749 0.689
CELL_PARAMETERS angstrom
-0.679 1.954 5.122
-3.636 1.069 4.019
0.087 -3.777 2.796